Model P:
Computed, not measured: a relaxed structure of Mn2Mo3 at the PBE level of DFT.

Cell: 2.7249 2.7249 32.9521 Å, 90.00 90.00 120.00°
Last column: nearest neighbours and their distance in Å.
Space group R-3m (No. 166, hexagonal axes)
Unique sites:
Mn: 0.0000 0.0000 0.1017  6 Mo 2.63-2.66, 6 Mn 2.72
Mo: 0.0000 0.0000 0.2956  3 Mn 2.63, 9 Mo 2.72-2.94
Mo: 0.0000 0.0000 0.5000  6 Mn 2.66, 6 Mo 2.72

=====

Model Q:
Computed, not measured: a relaxed structure of Mn2Mo3 at the PBE level of DFT.

Cell: 4.1322 4.1322 5.0714 Å, 90.00 90.00 120.00°
Last column: nearest neighbours and their distance in Å.
Space group P-3m1 (No. 164)
Unique sites:
Mn: 0.3333 0.6667 0.3411  8 Mo 2.46-2.61
Mo: 0.0000 0.0000 0.5000  6 Mn 2.52
Mo: 0.3333 0.6667 0.8556  5 Mn 2.46-2.61

=====

Model R:
Computed, not measured: a relaxed structure of Mn2Mo3 at the PBE level of DFT.

Cell: 9.1411 12.5706 4.9125 Å, 90.00 90.00 90.00°
Last column: nearest neighbours and their distance in Å.
Space group Fdd2 (No. 43)
Unique sites:
Mn: 0.0246 0.1972 0.0000  6 Mo 2.50-2.73
Mo: 0.0000 0.0000 0.0385  4 Mn 2.50-2.59
Mo: 0.0579 0.1076 0.5437  4 Mn 2.53-2.73, 3 Mo 2.63-2.80

=====

Which of them is the most stable, and which is the least stable? model R and model Q, in that order.

=====

Model P:
Computed, not measured: a relaxed structure of Mn3Mo2 at the PBE level of DFT.

Cell: 8.3703 11.9538 5.2500 Å, 90.00 90.00 90.00°
Last column: nearest neighbours and their distance in Å.
Space group Fdd2 (No. 43)
Unique sites:
Mn: 0.0000 0.0000 0.0000  4 Mn 2.23-2.37
Mn: 0.0508 0.3867 0.1728  4 Mn 2.23-2.49, 2 Mo 2.46-2.47
Mo: 0.0793 0.2988 0.6508  7 Mn 2.46-2.73

=====

Model Q:
Computed, not measured: a relaxed structure of Mn3Mo2 at the PBE level of DFT.

Cell: 4.1086 4.1086 5.0234 Å, 90.00 90.00 120.00°
Last column: nearest neighbours and their distance in Å.
Space group P-3m1 (No. 164)
Unique sites:
Mn: 0.0000 0.0000 0.0000  6 Mo 2.55
Mn: 0.3333 0.6667 0.3354  5 Mo 2.41-2.62
Mo: 0.3333 0.6667 0.8144  8 Mn 2.41-2.62

=====

Model R:
Computed, not measured: a relaxed structure of Mn3Mo2 at the PBE level of DFT.

Cell: 2.6285 2.6285 33.1314 Å, 90.00 90.00 120.00°
Last column: nearest neighbours and their distance in Å.
Space group R-3m (No. 166, hexagonal axes)
Unique sites:
Mn: 0.0000 0.0000 0.0000  6 Mn 2.63, 6 Mo 2.76
Mn: 0.0000 0.0000 0.1948  9 Mn 2.40-2.63
Mo: 0.0000 0.0000 0.4029  6 Mo 2.63, 6 Mn 2.74-2.76

=====

Which of them is the most stable, and which is the least stable? model P and model Q, in that order.